# PBE As3Os5, relaxed
# electronic total energy	-8.17	eV/atom
# crystal system	orthorhombic
# DOS at the Fermi energy	13.808	states/eV per cell
# energy above the lowest structure with this stoichiometry	102.5	meV per atom
# total magnetic moment	0.00	μB per cell
data_As3Os5
_space_group_name_H-M_alt 'C m m m'
_space_group_IT_number 65
_space_group_name_Hall '-C 2 2'
_cell_length_a 6.810
_cell_length_b 8.472
_cell_length_c 4.097
_cell_angle_alpha 90.00
_cell_angle_beta 90.00
_cell_angle_gamma 90.00
loop_
_atom_site_label
_atom_site_fract_x
_atom_site_fract_y
_atom_site_fract_z
As1 0.000 0.000 0.000
As2 0.000 0.296 0.500
Os1 0.000 0.500 0.000
Os2 0.223 0.000 0.500
Os3 0.250 0.250 0.000